Entry 1:
19
Lattice="-4.4118 1.5513 4.5425 0.1760 -9.9191 -1.1202 6.6838 1.2519 6.0640" Properties=species:S:1:pos:R:3 comment="In12Sn5Bi2, optimized geometry, DFT PBE" de_polymorph_ev_per_atom=0.021 e_form_ev_per_fu=1.09 dos_at_fermi_per_ev_cell=9.39 pbc="T T T"
In -2.4122 -6.1205 4.4259
In 5.9697 -5.0244 5.3284
In 3.9089 -4.2998 7.4503
In 3.7973 -6.7161 3.6621
In 1.6100 -5.9470 5.9141
In 2.1548 0.7765 6.5062
In 0.2932 -7.8925 2.9801
In -1.3493 -0.3999 5.8242
In 0.8380 -1.1689 3.5721
In -3.5217 -2.0915 4.1578
In -1.4610 -2.8162 2.0360
In 4.8602 -0.9955 5.0603
Sn 3.1870 -3.5194 4.2972
Sn 0.9265 -4.8477 2.5554
Sn 3.3419 0.6259 3.0320
Sn 1.5214 -2.2683 6.9309
Sn -0.7391 -3.5966 5.1890
Bi -3.3311 1.1713 3.4298
Bi -1.0807 0.3800 1.1127



Entry 2:
5
Lattice="-2.1096 -3.1000 -4.6334 4.6368 -3.7260 0.3818 -3.4322 -3.8473 4.1368" Properties=species:S:1:pos:R:3 comment="RbSr2LiPd, optimized geometry, DFT PBE" de_polymorph_ev_per_atom=0.078 e_form_ev_per_fu=-0.18 dos_at_fermi_per_ev_cell=3.65 pbc="T T T"
Sr 2.3184 -1.8630 0.1909
Sr -1.0548 -1.5500 -2.3167
Rb -1.7161 -1.9237 2.0684
Pd 0.0000 0.0000 0.0000
Li -0.4525 -5.3367 -0.0574



Entry 3:
10
Lattice="7.1262 0.0000 0.0000 0.0000 7.1262 0.0000 0.0000 0.0000 2.7649" Properties=species:S:1:pos:R:3 comment="HfMn2Cr2, optimized geometry, DFT PBE" de_polymorph_ev_per_atom=0.168 e_form_ev_per_fu=0.99 dos_at_fermi_per_ev_cell=13.00 pbc="T T T"
Cr 1.0751 4.6382 1.3825
Cr 4.6382 6.0511 1.3825
Cr 6.0511 2.4880 1.3825
Cr 2.4880 1.0751 1.3825
Mn 2.5666 6.1297 0.0000
Mn 6.1297 4.5596 0.0000
Mn 4.5596 0.9965 0.0000
Mn 0.9965 2.5666 0.0000
Hf 0.0000 0.0000 0.0000
Hf 3.5631 3.5631 0.0000



Entry 4:
20
Lattice="-0.8858 -3.8968 -4.5231 3.8020 -1.3873 4.4776 -7.7232 -4.3071 5.2233" Properties=species:S:1:pos:R:3 comment="LaBIr3, optimized geometry, DFT PBE" e_form_ev_per_fu=-2.12 dos_at_fermi_per_ev_cell=11.14 pbc="T T T"
La 0.3086 -3.3006 2.7832
La -5.1156 -6.2907 2.3946
La -3.8616 -2.1535 2.6116
La 0.0000 0.0000 0.0000
B -0.2862 -3.5974 -0.8716
B -2.5852 -4.9144 4.7403
B -4.5209 -5.9939 6.0494
B -2.2219 -4.6769 0.4375
Ir -4.6496 -4.3652 4.6714
Ir -1.5854 -2.6385 0.5287
Ir -2.0192 -4.5467 -1.6862
Ir -2.7878 -5.0445 6.8640
Ir -3.2216 -6.9528 4.6491
Ir -0.1574 -5.2261 0.5064
Ir -2.4035 -4.7956 2.5889
Ir -0.4429 -1.9484 -2.2615
Ir 1.4581 -2.6421 -0.0227
Ir -4.3045 -4.1020 0.3501
Ir -1.9606 -2.8472 4.8504
Ir 1.9010 -0.6937 2.2388



Entry 5:
5
Lattice="4.5570 0.0000 0.0000 0.0000 5.3064 0.0000 0.0000 0.0000 4.5570" Properties=species:S:1:pos:R:3 comment="ScNi2PdI, optimized geometry, DFT PBE" e_form_raw_mev_per_atom=713 dos_at_fermi_per_ev_cell=3.16 pbc="T T T"
I 0.0000 0.0000 0.0000
Ni 0.0000 0.0000 2.2785
Ni 2.2785 0.0000 0.0000
Sc 0.0000 2.6532 0.0000
Pd 2.2785 2.6532 2.2785



Entry 6:
20
Lattice="5.2399 0.0000 0.0000 0.0000 5.2399 0.0000 0.0000 0.0000 26.3347" Properties=species:S:1:pos:R:3 comment="La15Pm4Pr, optimized geometry, DFT PBE" e_form_ev_per_fu=0.21 dos_at_fermi_per_ev_cell=35.77 pbc="T T T"
La 2.6199 2.6199 0.0000
La 2.6199 2.6199 5.2745
La 2.6199 2.6199 10.5333
La 2.6199 2.6199 15.8014
La 2.6199 2.6199 21.0602
La 2.6199 0.0000 2.6464
La 2.6199 0.0000 7.9044
La 2.6199 0.0000 13.1673
La 2.6199 0.0000 18.4302
La 2.6199 0.0000 23.6882
La 0.0000 2.6199 2.6464
La 0.0000 2.6199 7.9044
La 0.0000 2.6199 13.1673
La 0.0000 2.6199 18.4302
La 0.0000 2.6199 23.6882
Pm 0.0000 0.0000 5.2734
Pm 0.0000 0.0000 10.5341
Pm 0.0000 0.0000 15.8006
Pm 0.0000 0.0000 21.0612
Pr 0.0000 0.0000 0.0000



Copy entry 4 word for word.
20
Lattice="-0.8858 -3.8968 -4.5231 3.8020 -1.3873 4.4776 -7.7232 -4.3071 5.2233" Properties=species:S:1:pos:R:3 comment="LaBIr3, optimized geometry, DFT PBE" e_form_ev_per_fu=-2.12 dos_at_fermi_per_ev_cell=11.14 pbc="T T T"
La 0.3086 -3.3006 2.7832
La -5.1156 -6.2907 2.3946
La -3.8616 -2.1535 2.6116
La 0.0000 0.0000 0.0000
B -0.2862 -3.5974 -0.8716
B -2.5852 -4.9144 4.7403
B -4.5209 -5.9939 6.0494
B -2.2219 -4.6769 0.4375
Ir -4.6496 -4.3652 4.6714
Ir -1.5854 -2.6385 0.5287
Ir -2.0192 -4.5467 -1.6862
Ir -2.7878 -5.0445 6.8640
Ir -3.2216 -6.9528 4.6491
Ir -0.1574 -5.2261 0.5064
Ir -2.4035 -4.7956 2.5889
Ir -0.4429 -1.9484 -2.2615
Ir 1.4581 -2.6421 -0.0227
Ir -4.3045 -4.1020 0.3501
Ir -1.9606 -2.8472 4.8504
Ir 1.9010 -0.6937 2.2388